This record from Alexandria via LeMat-Bulk describes a relaxed structure of Li3CoAu. The functional is GGA-PBE.

The space group is Pm-3m (No. 221) and the conventional cell measures 4.764, 4.764 and 4.764 Å, with angles of 90.00, 90.00 and 90.00 degrees. The inequivalent atoms are Li at (0.000, 0.000, 0.500), Co at (0.500, 0.500, 0.500) and Au at (0.000, 0.000, 0.000).

The formation energy is 462 meV per atom. The energy relative to the lowest polymorph listed for this composition is 0.0 meV/atom. As for the total magnetization: 1.77 μB/f.u. The calculation puts the density of states at the Fermi level at 0.817 states/eV per atom. The calculation puts the total energy at -2.7629 eV per atom.